1.
Entry from Alexandria via LeMat-Bulk: an optimized crystal structure of MoBr (PBE).

Calculated values
ΔE_f (raw): 0.113 eV/atom
E above lowest polymorph: 187.5 meV/atom
symmetry: Cm (8)

abc: 14.0150 3.2071 6.7350
angles: 90.00 106.62 90.00
Last column: nearest neighbours and their distance in Å.
Fractional coordinates of all 12 atoms:
Mo 0.0000 0.0000 0.0000  2 Mo 2.44
Mo 0.0231 0.5000 0.6849  3 Mo 2.58-2.75, 5 Br 2.65-2.75
Mo 0.3716 0.0000 0.8308  3 Mo 2.44-2.58
Mo 0.5000 0.5000 0.0000  2 Mo 2.44
Mo 0.5231 0.0000 0.6849  3 Mo 2.58-2.75, 5 Br 2.65-2.75
Mo 0.8716 0.5000 0.8308  3 Mo 2.44-2.58
Br 0.0863 0.5000 0.3343  3 Mo 2.75
Br 0.1754 0.0000 0.8560  4 Mo 2.65-2.89
Br 0.3730 0.5000 0.4816  4 Mo 2.69-2.85
Br 0.5863 0.0000 0.3343  3 Mo 2.75
Br 0.6754 0.5000 0.8560  4 Mo 2.65-2.89
Br 0.8730 0.0000 0.4816  4 Mo 2.69-2.85

2.
Entry from Alexandria via LeMat-Bulk: an optimized crystal structure of Pa4VGa12 (PBE).

Calculated values
energy of formation from the pure elements: -6.67 eV/f.u.
symmetry: Im-3m (229)

abc: 7.4878 7.4878 7.4878
angles: 109.47 109.47 109.47
Last column: nearest neighbours and their distance in Å.
Fractional coordinates of all 17 atoms:
Pa 0.0000 0.0000 0.5000  12 Ga 3.06-3.08
Pa 0.0000 0.5000 0.0000  12 Ga 3.06-3.08
Pa 0.5000 0.0000 0.0000  12 Ga 3.06-3.08
Pa 0.5000 0.5000 0.5000  12 Ga 3.06-3.08
V 0.0000 0.0000 0.0000  6 Ga 2.53
Ga 0.0000 0.2928 0.2928  1 V 2.53, 4 Ga 2.81
Ga 0.0000 0.7072 0.7072  1 V 2.53, 4 Ga 2.81
Ga 0.2500 0.5000 0.7500  8 Ga 2.81-3.06, 4 Pa 3.06
Ga 0.2500 0.7500 0.5000  8 Ga 2.81-3.06, 4 Pa 3.06
Ga 0.2928 0.0000 0.2928  1 V 2.53, 4 Ga 2.81
Ga 0.2928 0.2928 0.0000  1 V 2.53, 4 Ga 2.81
Ga 0.5000 0.2500 0.7500  8 Ga 2.81-3.06, 4 Pa 3.06
Ga 0.5000 0.7500 0.2500  8 Ga 2.81-3.06, 4 Pa 3.06
Ga 0.7072 0.0000 0.7072  1 V 2.53, 4 Ga 2.81
Ga 0.7072 0.7072 0.0000  1 V 2.53, 4 Ga 2.81
Ga 0.7500 0.2500 0.5000  8 Ga 2.81-3.06, 4 Pa 3.06
Ga 0.7500 0.5000 0.2500  8 Ga 2.81-3.06, 4 Pa 3.06

3.
Entry from Alexandria via LeMat-Bulk: an optimized crystal structure of Pr3Dy2PuSe6 (PBE).

Calculated values
ΔE_f (raw): -1.775 eV/atom
symmetry: C2/m (12)

abc: 7.2006 7.2006 7.3183
angles: 99.43 99.43 120.03
Last column: nearest neighbours and their distance in Å.
Fractional coordinates of all 12 atoms:
Pr 0.0000 0.0000 0.0000  6 Se 3.00-3.02
Pr 0.3338 0.6662 0.0000  6 Se 3.00-3.03
Pr 0.6662 0.3338 0.0000  6 Se 3.00-3.03
Dy 0.1675 0.8325 0.5000  6 Se 2.89
Dy 0.8325 0.1675 0.5000  6 Se 2.89
Pu 0.5000 0.5000 0.5000  6 Se 2.91-2.92
Se 0.0851 0.4212 0.2642  2 Dy 2.89, 1 Pu 2.92, 3 Pr 3.00-3.02
Se 0.2415 0.2415 0.7342  2 Dy 2.89, 1 Pu 2.91, 3 Pr 3.00-3.03
Se 0.4212 0.0851 0.2642  2 Dy 2.89, 1 Pu 2.92, 3 Pr 3.00-3.02
Se 0.5788 0.9149 0.7358  2 Dy 2.89, 1 Pu 2.92, 3 Pr 3.00-3.02
Se 0.7585 0.7585 0.2658  2 Dy 2.89, 1 Pu 2.91, 3 Pr 3.00-3.03
Se 0.9149 0.5788 0.7358  2 Dy 2.89, 1 Pu 2.92, 3 Pr 3.00-3.02

4.
Entry from Alexandria via LeMat-Bulk: an optimized crystal structure of CePm3O4 (PBE).

Calculated values
ΔE_f (raw): -2.786 eV/atom
symmetry: P2/c (13)

abc: 6.1288 7.0264 6.1236
angles: 90.00 109.24 90.00
Last column: nearest neighbours and their distance in Å.
Fractional coordinates of all 16 atoms:
Ce 0.0000 0.1237 0.2500  6 O 2.50
Ce 0.0000 0.8763 0.7500  6 O 2.50
Pm 0.0000 0.3723 0.7500  6 O 2.48-2.51
Pm 0.0000 0.6277 0.2500  6 O 2.48-2.51
Pm 0.5000 0.1235 0.7500  6 O 2.49-2.51
Pm 0.5000 0.3737 0.2500  6 O 2.48-2.50
Pm 0.5000 0.6263 0.7500  6 O 2.48-2.50
Pm 0.5000 0.8765 0.2500  6 O 2.49-2.51
O 0.2497 0.3751 0.4996  5 Pm 2.50-2.51, 1 Ce 2.50
O 0.2497 0.6249 0.9996  5 Pm 2.50-2.51, 1 Ce 2.50
O 0.2515 0.1261 0.0006  4 Pm 2.48-2.49, 2 Ce 2.50
O 0.2515 0.8739 0.5006  4 Pm 2.48-2.49, 2 Ce 2.50
O 0.7485 0.1261 0.4994  4 Pm 2.48-2.49, 2 Ce 2.50
O 0.7485 0.8739 0.9994  4 Pm 2.48-2.49, 2 Ce 2.50
O 0.7503 0.3751 0.0004  5 Pm 2.50-2.51, 1 Ce 2.50
O 0.7503 0.6249 0.5004  5 Pm 2.50-2.51, 1 Ce 2.50

What did the second record say?
Entry from Alexandria via LeMat-Bulk: an optimized crystal structure of Pa4VGa12 (PBE).

Calculated values
energy of formation from the pure elements: -6.67 eV/f.u.
symmetry: Im-3m (229)

abc: 7.4878 7.4878 7.4878
angles: 109.47 109.47 109.47
Last column: nearest neighbours and their distance in Å.
Fractional coordinates of all 17 atoms:
Pa 0.0000 0.0000 0.5000  12 Ga 3.06-3.08
Pa 0.0000 0.5000 0.0000  12 Ga 3.06-3.08
Pa 0.5000 0.0000 0.0000  12 Ga 3.06-3.08
Pa 0.5000 0.5000 0.5000  12 Ga 3.06-3.08
V 0.0000 0.0000 0.0000  6 Ga 2.53
Ga 0.0000 0.2928 0.2928  1 V 2.53, 4 Ga 2.81
Ga 0.0000 0.7072 0.7072  1 V 2.53, 4 Ga 2.81
Ga 0.2500 0.5000 0.7500  8 Ga 2.81-3.06, 4 Pa 3.06
Ga 0.2500 0.7500 0.5000  8 Ga 2.81-3.06, 4 Pa 3.06
Ga 0.2928 0.0000 0.2928  1 V 2.53, 4 Ga 2.81
Ga 0.2928 0.2928 0.0000  1 V 2.53, 4 Ga 2.81
Ga 0.5000 0.2500 0.7500  8 Ga 2.81-3.06, 4 Pa 3.06
Ga 0.5000 0.7500 0.2500  8 Ga 2.81-3.06, 4 Pa 3.06
Ga 0.7072 0.0000 0.7072  1 V 2.53, 4 Ga 2.81
Ga 0.7072 0.7072 0.0000  1 V 2.53, 4 Ga 2.81
Ga 0.7500 0.2500 0.5000  8 Ga 2.81-3.06, 4 Pa 3.06
Ga 0.7500 0.5000 0.2500  8 Ga 2.81-3.06, 4 Pa 3.06